## ZnCdTeO (PBE)

Data for a relaxed ZnCdTeO crystal.

## Properties
Offset from the most stable computed form = 0.193 eV per atom
VASP energy = -12.64 eV/f.u.

abc: 7.292 7.292 6.481
angles: 90.00 90.00 151.27
Sites, in units of the cell vectors:
Zn: 0.145 0.855 0.500
Zn: 0.855 0.145 0.000
Cd: 0.441 0.559 0.588
Cd: 0.559 0.441 0.088
Te: 0.190 0.810 0.897
Te: 0.810 0.190 0.397
O: 0.420 0.580 0.928
O: 0.580 0.420 0.428